[1]
VASP calculation (PBE-GGA) on a relaxed MgTlCl2 crystal.

Cell: 11.204 11.204 11.204 Å, 162.93 162.04 24.87°
Positions (direct):
Mg: 0.000 0.000 0.000
Tl: 0.244 0.744 0.500
Cl: 0.556 0.556 0.000
Cl: 0.923 0.423 0.500

Output
As for the uncorrected formation energy: -1.08 eV per atom.

[2]
VASP calculation (PBE-GGA) on a relaxed MgTl6Cl8 crystal.

Cell: 8.236 8.236 8.236 Å, 70.38 70.38 70.38°
Positions (direct):
Mg: 0.000 0.000 0.000
Tl: 0.057 0.475 0.706
Tl: 0.294 0.943 0.525
Tl: 0.475 0.706 0.057
Tl: 0.525 0.294 0.943
Tl: 0.706 0.057 0.475
Tl: 0.943 0.525 0.294
Cl: 0.081 0.854 0.298
Cl: 0.146 0.702 0.919
Cl: 0.298 0.081 0.854
Cl: 0.333 0.333 0.333
Cl: 0.667 0.667 0.667
Cl: 0.702 0.919 0.146
Cl: 0.854 0.298 0.081
Cl: 0.919 0.146 0.702

Output
As for the uncorrected formation energy: -1.17 eV per atom.

[3]
VASP calculation (PBE-GGA) on a relaxed MgTlCl2 crystal.

Cell: 3.711 3.711 8.922 Å, 90.00 90.00 116.57°
Positions (direct):
Mg: 0.000 0.000 0.000
Tl: 0.500 0.500 0.258
Cl: 0.000 0.000 0.474
Cl: 0.500 0.500 0.842

Output
As for the uncorrected formation energy: -0.78 eV per atom.

[4]
VASP calculation (PBE-GGA) on a relaxed MgTlCl2 crystal.

Cell: 5.275 5.275 5.275 Å, 60.00 60.00 60.00°
Positions (direct):
Mg: 0.000 0.000 0.000
Tl: 0.500 0.500 0.500
Cl: 0.250 0.250 0.250
Cl: 0.750 0.750 0.750

Output
As for the uncorrected formation energy: -0.73 eV per atom.

[5]
VASP calculation (PBE-GGA) on a relaxed MgTlCl2 crystal.

Cell: 8.593 8.593 8.593 Å, 25.91 25.91 25.91°
Positions (direct):
Mg: 0.000 0.000 0.000
Tl: 0.753 0.753 0.753
Cl: 0.285 0.285 0.285
Cl: 0.494 0.494 0.494

Output
As for the uncorrected formation energy: -0.89 eV per atom.

[6]
VASP calculation (PBE-GGA) on a relaxed MgTlCl2 crystal.

Cell: 3.738 3.738 10.326 Å, 90.00 90.00 123.51°
Positions (direct):
Mg: 0.000 0.000 0.000
Tl: 0.000 0.000 0.500
Cl: 0.500 0.500 0.159
Cl: 0.500 0.500 0.841

Output
As for the uncorrected formation energy: -1.08 eV per atom.

Question: Which value of uncorrected formation energy does entry 1 give?
Answer: -1.08 eV per atom

Question: Which of these has the lowest uncorrected formation energy?
Answer: MgTl6Cl8